[1]
# CsNa2SrZn (GGA-PBE, relaxed)
# * N(E_F): 2.807 states/eV per cell
# * total moment: 0.0 μB/f.u.
# * calculated formation energy: 98 meV per atom
data_CsNa2SrZn
_cell_length_a 6.2560
_cell_length_b 6.2560
_cell_length_c 6.2270
_cell_angle_alpha 90.00
_cell_angle_beta 90.00
_cell_angle_gamma 90.00
_space_group_name_H-M_alt 'P 4/m m m'
_space_group_IT_number 123
_space_group_name_Hall '-P 4 2'
loop_
_atom_site_label
_atom_site_fract_x
_atom_site_fract_y
_atom_site_fract_z
_atom_site_occupancy
Cs1 0.0000 0.0000 0.0000 1
Na1 0.0000 0.5000 0.5000 1
Sr1 0.5000 0.5000 0.0000 1
Zn1 0.5000 0.5000 0.5000 1

---

[2]
# CdSi (GGA-PBE, relaxed)
# * N(E_F): 5.415 states/eV per cell
# * raw formation energy: 827 meV/atom
# * total moment: 0.0 μB/f.u.
data_CdSi
_cell_length_a 7.3941
_cell_length_b 7.3941
_cell_length_c 7.3941
_cell_angle_alpha 90.00
_cell_angle_beta 90.00
_cell_angle_gamma 90.00
_space_group_name_H-M_alt 'P m -3 n'
_space_group_IT_number 223
_space_group_name_Hall '-P 4n 2 3'
loop_
_atom_site_label
_atom_site_fract_x
_atom_site_fract_y
_atom_site_fract_z
_atom_site_occupancy
Cd1 0.0000 0.2500 0.5000 1
Si1 0.0000 0.5000 0.2500 1

---

[3]
# CaMg9Ag2 (GGA-PBE, relaxed)
# * N(E_F): 18.742 states/eV per cell
# * total moment: 0.0 μB/f.u.
# * calculated formation energy: -116 meV per atom
data_CaMg9Ag2
_cell_length_a 12.0248
_cell_length_b 12.0248
_cell_length_c 7.7013
_cell_angle_alpha 90.00
_cell_angle_beta 90.00
_cell_angle_gamma 90.00
_space_group_name_H-M_alt 'I 41/a m d'
_space_group_IT_number 141
loop_
_space_group_symop_operation_xyz
'x,y,z'
'-x,-y,-z'
'-y+1/4,x+3/4,z+1/4'
'y+1/4,-x+3/4,-z+1/4'
'-x+1/2,-y,z+1/2'
'x+1/2,y,-z+1/2'
'y+1/4,-x+1/4,z+3/4'
'-y+1/4,x+1/4,-z+3/4'
'x,-y,-z'
'-x,y,z'
'-y+1/4,-x+1/4,-z+3/4'
'y+1/4,x+1/4,z+3/4'
'-x+1/2,y,-z+1/2'
'x+1/2,-y,z+1/2'
'y+1/4,x+3/4,-z+1/4'
'-y+1/4,-x+3/4,z+1/4'
'x+1/2,y+1/2,z+1/2'
'-x+1/2,-y+1/2,-z+1/2'
'-y+3/4,x+1/4,z+3/4'
'y+3/4,-x+1/4,-z+3/4'
'-x,-y+1/2,z'
'x,y+1/2,-z'
'y+3/4,-x+3/4,z+1/4'
'-y+3/4,x+3/4,-z+1/4'
'x+1/2,-y+1/2,-z+1/2'
'-x+1/2,y+1/2,z+1/2'
'-y+3/4,-x+3/4,-z+1/4'
'y+3/4,x+3/4,z+1/4'
'-x,y+1/2,-z'
'x,-y+1/2,z'
'y+3/4,x+1/4,-z+3/4'
'-y+3/4,-x+1/4,z+3/4'
loop_
_atom_site_label
_atom_site_fract_x
_atom_site_fract_y
_atom_site_fract_z
_atom_site_occupancy
Ca1 0.0000 0.2500 0.3750 1
Mg1 0.0000 0.2500 0.8750 1
Mg2 0.1224 0.0491 0.6851 1
Ag1 0.0000 0.0000 0.0000 1

---

[4]
# Zn2ReSi (GGA-PBE, relaxed)
# * N(E_F): 3.811 states/eV per cell
# * raw formation energy: 150 meV/atom
# * total moment: 0.0 μB/f.u.
data_Zn2ReSi
_cell_length_a 9.0869
_cell_length_b 2.6580
_cell_length_c 4.8093
_cell_angle_alpha 90.00
_cell_angle_beta 95.84
_cell_angle_gamma 90.00
_space_group_name_H-M_alt 'C 1 m 1'
_space_group_IT_number 8
loop_
_space_group_symop_operation_xyz
'x,y,z'
'x,-y,z'
'x+1/2,y+1/2,z'
'x+1/2,-y+1/2,z'
loop_
_atom_site_label
_atom_site_fract_x
_atom_site_fract_y
_atom_site_fract_z
_atom_site_occupancy
Zn1 0.0000 0.0000 0.0000 1
Zn2 0.2491 0.5000 0.1999 1
Re1 0.4828 0.0000 0.4980 1
Si1 0.2250 0.0000 0.6801 1

---

[5]
# SmSc4Ag (GGA-PBE, relaxed)
# * N(E_F): 38.341 states/eV per cell
# * total moment: 0.0 μB/f.u.
# * calculated formation energy: 59 meV per atom
data_SmSc4Ag
_cell_length_a 5.2355
_cell_length_b 19.2223
_cell_length_c 6.0391
_cell_angle_alpha 90.00
_cell_angle_beta 90.00
_cell_angle_gamma 90.00
_space_group_name_H-M_alt 'C m c 21'
_space_group_IT_number 36
loop_
_space_group_symop_operation_xyz
'x,y,z'
'-x,-y,z+1/2'
'-x,y,z'
'x,-y,z+1/2'
'x+1/2,y+1/2,z'
'-x+1/2,-y+1/2,z+1/2'
'-x+1/2,y+1/2,z'
'x+1/2,-y+1/2,z+1/2'
loop_
_atom_site_label
_atom_site_fract_x
_atom_site_fract_y
_atom_site_fract_z
_atom_site_occupancy
Sm1 0.0000 0.0633 0.0000 1
Sc1 0.0000 0.1408 0.5047 1
Sc2 0.0000 0.2542 0.8803 1
Sc3 0.0000 0.3139 0.3648 1
Sc4 0.0000 0.4570 0.1739 1
Ag1 0.0000 0.3990 0.7540 1

---

[6]
# Hf2NiHIr (GGA-PBE, relaxed)
# * polymorph energy (0 for the lowest one): 136.3 meV per atom
# * N(E_F): 3.307 states/eV per cell
# * total moment: 0.0 μB/f.u.
data_Hf2NiHIr
_cell_length_a 4.3978
_cell_length_b 4.3978
_cell_length_c 3.6541
_cell_angle_alpha 90.00
_cell_angle_beta 90.00
_cell_angle_gamma 90.00
_space_group_name_H-M_alt 'P 4/m m m'
_space_group_IT_number 123
_space_group_name_Hall '-P 4 2'
loop_
_atom_site_label
_atom_site_fract_x
_atom_site_fract_y
_atom_site_fract_z
_atom_site_occupancy
Hf1 0.0000 0.5000 0.0000 1
Ni1 0.0000 0.0000 0.5000 1
H1 0.5000 0.5000 0.0000 1
Ir1 0.5000 0.5000 0.5000 1

---

[7]
# AcCeTeN2 (GGA-PBE, relaxed)
# * N(E_F): 10.079 states/eV per cell
# * raw formation energy: -1247 meV/atom
# * total moment: 0.0 μB/f.u.
data_AcCeTeN2
_cell_length_a 4.0938
_cell_length_b 4.0938
_cell_length_c 14.0125
_cell_angle_alpha 90.00
_cell_angle_beta 90.00
_cell_angle_gamma 90.00
_space_group_name_H-M_alt 'I 4 m m'
_space_group_IT_number 107
_space_group_name_Hall 'I 4 -2'
loop_
_atom_site_label
_atom_site_fract_x
_atom_site_fract_y
_atom_site_fract_z
_atom_site_occupancy
Ac1 0.0000 0.0000 0.0000 1
Ce1 0.0000 0.0000 0.3271 1
Te1 0.0000 0.0000 0.6670 1
N1 0.0000 0.5000 0.3983 1

---

[8]
# Tb2Nd4ErTm2 (GGA-PBE, relaxed)
# * N(E_F): 27.547 states/eV per cell
# * total moment: 0.0 μB/f.u.
# * calculated formation energy: 23 meV per atom
data_Tb2Nd4ErTm2
_cell_length_a 15.2737
_cell_length_b 5.0823
_cell_length_c 8.0162
_cell_angle_alpha 90.00
_cell_angle_beta 108.50
_cell_angle_gamma 90.00
_space_group_name_H-M_alt 'C 1 2/m 1'
_space_group_IT_number 12
loop_
_space_group_symop_operation_xyz
'x,y,z'
'-x,-y,-z'
'-x,y,-z'
'x,-y,z'
'x+1/2,y+1/2,z'
'-x+1/2,-y+1/2,-z'
'-x+1/2,y+1/2,-z'
'x+1/2,-y+1/2,z'
loop_
_atom_site_label
_atom_site_fract_x
_atom_site_fract_y
_atom_site_fract_z
_atom_site_occupancy
Tb1 0.1115 0.0000 0.1703 1
Nd1 0.0541 0.5000 0.8302 1
Nd2 0.2225 0.0000 0.8308 1
Er1 0.0000 0.0000 0.5000 1
Tm1 0.1672 0.5000 0.4997 1